First-principles (PBE) data for a geometry-optimized P2S4I structure, as listed in Alexandria.

a b c (Å): 8.4869 7.4569 10.2142
angles (deg): 109.82 124.48 86.25
Atoms (fractional coordinates):
1 I 0.0416 0.0716 0.0123
2 S 0.7353 0.0362 0.3028
3 P 0.6189 0.7789 0.2771
4 S 0.3595 0.6317 0.0081
5 S 0.3369 0.0639 0.3098
6 P 0.5296 0.2292 0.3166
7 S 0.7585 0.0684 0.7003
8 S 0.5499 0.8302 0.8539
9 S 0.7045 0.4424 0.5730
10 S 0.8086 0.5927 0.2437
11 P 0.4424 0.6054 0.8495
12 P 0.7671 0.3605 0.7749
13 I 0.1161 0.7034 0.5250
14 S 0.4812 0.3357 0.7530

Computed properties:
Space-group type: P1 (1)
Formation energy (no corrections): -0.001 eV per atom
E_tot: -4.126 eV per atom
Magnetic moment: 0.0 Bohr magnetons per cell